# 1
Crystalline ErTm3Hg12 at its relaxed geometry. Source: Alexandria via LeMat-Bulk, functional PBE.

Output
Formation energy from the elements   -4.41 eV per formula unit

a = 4.465 Å, b = 4.465 Å, c = 19.307 Å
α = 90.00°, β = 90.00°, γ = 90.00°
Sites, in units of the cell vectors:
Er: 0.000 0.000 0.000
Tm: 0.000 0.000 0.500
Tm: 0.000 0.000 0.250
Tm: 0.000 0.000 0.750
Hg: 0.000 0.500 0.875
Hg: 0.000 0.500 0.375
Hg: 0.500 0.000 0.625
Hg: 0.000 0.500 0.125
Hg: 0.500 0.000 0.125
Hg: 0.500 0.000 0.375
Hg: 0.000 0.500 0.625
Hg: 0.500 0.500 0.750
Hg: 0.500 0.500 0.250
Hg: 0.500 0.000 0.875
Hg: 0.500 0.500 0.000
Hg: 0.500 0.500 0.500

# 2
Crystalline InMo2Rh at its relaxed geometry. Source: Alexandria via LeMat-Bulk, functional PBE.

Output
Formation energy from the elements   0.45 eV per formula unit

a = 4.355 Å, b = 2.808 Å, c = 6.055 Å
α = 62.44°, β = 90.00°, γ = 90.00°
Sites, in units of the cell vectors:
Mo: 0.000 0.513 0.487
Mo: 0.000 0.987 0.013
In: 0.500 0.750 0.750
Rh: 0.500 0.250 0.250

# 3
Crystalline CrRh4 at its relaxed geometry. Source: Alexandria via LeMat-Bulk, functional PBE.

Output
Formation energy from the elements   -0.35 eV per formula unit
E above lowest polymorph   0 meV per atom

a = 6.023 Å, b = 6.023 Å, c = 4.669 Å
α = 49.84°, β = 49.84°, γ = 90.00°
Sites, in units of the cell vectors:
Rh: 0.397 0.799 0.000
Rh: 0.201 0.397 0.000
Rh: 0.603 0.201 0.000
Rh: 0.799 0.603 0.000
Cr: 0.000 0.000 0.000

# 4
Crystalline CdTcPb2 at its relaxed geometry. Source: Alexandria via LeMat-Bulk, functional PBE.

Output
Formation energy from the elements   3.08 eV per formula unit

a = 5.131 Å, b = 5.131 Å, c = 5.131 Å
α = 60.00°, β = 60.00°, γ = 60.00°
Sites, in units of the cell vectors:
Tc: 0.250 0.250 0.250
Cd: 0.500 0.500 0.500
Pb: 0.000 0.000 0.000
Pb: 0.750 0.750 0.750

# 5
Crystalline TiGa2Ag2 at its relaxed geometry. Source: Alexandria via LeMat-Bulk, functional PBE.

Output
Formation energy from the elements   0.40 eV per formula unit
E above lowest polymorph   42 meV per atom

a = 7.798 Å, b = 7.798 Å, c = 2.866 Å
α = 90.00°, β = 90.00°, γ = 90.00°
Sites, in units of the cell vectors:
Ga: 0.324 0.176 0.500
Ga: 0.824 0.324 0.500
Ga: 0.176 0.676 0.500
Ga: 0.676 0.824 0.500
Ag: 0.374 0.874 0.000
Ag: 0.626 0.126 0.000
Ag: 0.874 0.626 0.000
Ag: 0.126 0.374 0.000
Ti: 0.500 0.500 0.000
Ti: 0.000 0.000 0.000

# 6
Crystalline TbSm2PuS4 at its relaxed geometry. Source: Alexandria via LeMat-Bulk, functional PBE.

Output
Raw formation energy   -1976 meV per atom

a = 3.961 Å, b = 6.887 Å, c = 6.897 Å
α = 109.25°, β = 90.00°, γ = 90.00°
Sites, in units of the cell vectors:
S: 0.500 0.247 0.243
S: 0.000 0.749 0.244
S: 0.500 0.753 0.757
S: 0.000 0.251 0.756
Sm: 0.000 0.500 0.500
Sm: 0.500 0.000 0.500
Tb: 0.000 0.000 0.000
Pu: 0.500 0.500 0.000

# 7
Crystalline ScMnTl2 at its relaxed geometry. Source: Alexandria via LeMat-Bulk, functional PBE.

Output
Formation energy from the elements   0.70 eV per formula unit

a = 4.660 Å, b = 3.271 Å, c = 5.989 Å
α = 82.51°, β = 90.00°, γ = 90.00°
Sites, in units of the cell vectors:
Mn: 0.500 0.250 0.250
Sc: 0.500 0.750 0.750
Tl: 0.000 0.097 0.008
Tl: 0.000 0.403 0.492

# 8
Crystalline Hf2CrBr at its relaxed geometry. Source: Alexandria via LeMat-Bulk, functional PBE.

Output
Raw formation energy   913 meV per atom
E above lowest polymorph   374 meV per atom

a = 5.748 Å, b = 5.748 Å, c = 7.508 Å
α = 67.49°, β = 67.49°, γ = 90.00°
Sites, in units of the cell vectors:
Cr: 0.500 0.500 0.000
Cr: 0.250 0.750 0.500
Br: 0.750 0.250 0.500
Br: 0.000 0.000 0.000
Hf: 0.375 0.454 0.750
Hf: 0.875 0.796 0.750
Hf: 0.204 0.625 0.250
Hf: 0.546 0.125 0.250

Mass density readings, ordered: 13.3; 10.4; 11.1; 10.9; 7.7; 7.8; 9.3; 7.8 g cm⁻³